# 1
# PmHfS4 | Alexandria | GGA-PBE | optimized geometry
data_PmHfS4
_cell_length_a 8.7683
_cell_length_b 11.5323
_cell_length_c 6.4346
_cell_angle_alpha 90.00
_cell_angle_beta 126.26
_cell_angle_gamma 90.00
_symmetry_space_group_name_H-M 'C 1 2/c 1'
_symmetry_Int_Tables_number 15
loop_
_symmetry_equiv_pos_as_xyz
'x,y,z'
'-x,-y,-z'
'-x,y,-z+1/2'
'x,-y,z+1/2'
'x+1/2,y+1/2,z'
'-x+1/2,-y+1/2,-z'
'-x+1/2,y+1/2,-z+1/2'
'x+1/2,-y+1/2,z+1/2'
loop_
_atom_site_label
_atom_site_fract_x
_atom_site_fract_y
_atom_site_fract_z
Pm1 0.0000 0.1326 0.2500
Hf1 0.0000 0.4949 0.7500
S1 0.1230 0.3317 0.5943
S2 0.2187 0.0628 0.7792
# ΔE_f (raw) ... -1.4582 eV/atom

# 2
# TaNiGePtAu | Alexandria | GGA-PBE | optimized geometry
data_TaNiGePtAu
_cell_length_a 9.7988
_cell_length_b 2.9185
_cell_length_c 7.0672
_cell_angle_alpha 90.00
_cell_angle_beta 129.93
_cell_angle_gamma 90.00
_symmetry_space_group_name_H-M 'C 1 m 1'
_symmetry_Int_Tables_number 8
loop_
_symmetry_equiv_pos_as_xyz
'x,y,z'
'x,-y,z'
'x+1/2,y+1/2,z'
'x+1/2,-y+1/2,z'
loop_
_atom_site_label
_atom_site_fract_x
_atom_site_fract_y
_atom_site_fract_z
Ta1 0.0000 0.0000 0.0000
Ni1 0.0448 0.5000 0.3549
Ge1 0.3028 0.5000 0.2097
Pt1 0.3364 0.0000 0.5572
Au1 0.1682 0.0000 0.7686
# E_form ... -0.20 eV per atom